[1]
Density functional theory data (GGA-PBEsol) for HgPbS3 after structural relaxation.

Results
DFT total energy in eV/atom: -2.895
Symmetry: Pm-3m, No. 221
Total magnetic moment in μB/f.u.: 0.00
Mass density in g cm⁻³: 6.3

Cell: 5.1036 5.1036 5.1036 Å, 90.00 90.00 90.00°
Closest atoms and distances in Å follow each position.
Atoms (fractional coordinates):
Hg1 0.0000 0.0000 0.0000  12 S 3.61
Pb1 0.5000 0.5000 0.5000  6 S 2.55
S1 0.0000 0.5000 0.5000  2 Pb 2.55
S2 0.5000 0.0000 0.5000  2 Pb 2.55
S3 0.5000 0.5000 0.0000  2 Pb 2.55



[2]
Density functional theory data (GGA-PBEsol) for LuTiO3 after structural relaxation.

Results
DFT total energy in eV/atom: -9.098
Symmetry: Pnma, No. 62
Total magnetic moment in μB/f.u.: 1.01
Mass density in g cm⁻³: 8.3

Cell: 5.5896 7.4944 5.1800 Å, 90.00 90.00 90.00°
Closest atoms and distances in Å follow each position.
Atoms (fractional coordinates):
Lu1 0.0762 0.2500 0.0253  4 O 2.15-2.22
Lu2 0.4238 0.7500 0.5253  4 O 2.15-2.22
Lu3 0.5762 0.2500 0.4747  4 O 2.15-2.22
Lu4 0.9238 0.7500 0.9747  4 O 2.15-2.22
Ti1 0.0000 0.0000 0.5000  6 O 2.02-2.03
Ti2 0.0000 0.5000 0.5000  6 O 2.02-2.03
Ti3 0.5000 0.0000 0.0000  6 O 2.02-2.03
Ti4 0.5000 0.5000 0.0000  6 O 2.02-2.03
O1 0.0556 0.7500 0.3641  2 Ti 2.03, 2 Lu 2.15-2.22
O2 0.1938 0.5637 0.8153  2 Ti 2.02, 1 Lu 2.22
O3 0.1938 0.9363 0.8153  2 Ti 2.02, 1 Lu 2.22
O4 0.3062 0.0637 0.3153  2 Ti 2.02, 1 Lu 2.22
O5 0.3062 0.4363 0.3153  2 Ti 2.02, 1 Lu 2.22
O6 0.4444 0.2500 0.8641  2 Ti 2.03, 2 Lu 2.15-2.22
O7 0.5556 0.7500 0.1359  2 Ti 2.03, 2 Lu 2.15-2.22
O8 0.6938 0.5637 0.6847  2 Ti 2.02, 1 Lu 2.22
O9 0.6938 0.9363 0.6847  2 Ti 2.02, 1 Lu 2.22
O10 0.8062 0.0637 0.1847  2 Ti 2.02, 1 Lu 2.22
O11 0.8062 0.4363 0.1847  2 Ti 2.02, 1 Lu 2.22
O12 0.9444 0.2500 0.6359  2 Ti 2.03, 2 Lu 2.15-2.22



[3]
Density functional theory data (GGA-PBEsol) for ZnSbTe2N after structural relaxation.

Results
DFT total energy in eV/atom: -3.471
Symmetry: P4/mmm, No. 123
Total magnetic moment in μB/f.u.: 0.00
Mass density in g cm⁻³: 5.9

Cell: 5.7765 5.7765 3.8558 Å, 90.00 90.00 90.00°
Closest atoms and distances in Å follow each position.
Atoms (fractional coordinates):
Zn1 0.0000 0.0000 0.0000  8 Te 3.47, 2 Zn 3.86
Sb1 0.5000 0.5000 0.5000  2 N 1.93
Te1 0.0000 0.5000 0.5000  2 Sb 2.89
Te2 0.5000 0.0000 0.5000  2 Sb 2.89
N1 0.5000 0.5000 0.0000  2 Sb 1.93



[4]
Density functional theory data (GGA-PBEsol) for BaCuRe after structural relaxation.

Results
Symmetry: Imm2, No. 44
Energy relative to the elements in meV per atom: 897
Polymorph energy (0 for the lowest one) in eV per formula unit: 0.00
Total magnetic moment in μB/f.u.: 0.00
Mass density in g cm⁻³: 10.1

Cell: 6.2147 6.2147 6.2147 Å, 152.48 145.00 45.09°
Closest atoms and distances in Å follow each position.
Atoms (fractional coordinates):
Ba1 0.0000 0.0000 0.0000  2 Ba 2.96, 1 Cu 3.26, 1 Re 3.28
Cu1 0.7159 0.7159 0.0000  4 Re 2.52
Re1 0.2859 0.2859 0.0000  4 Cu 2.52



[5]
Density functional theory data (GGA-PBEsol) for CuAu3C after structural relaxation.

Results
Symmetry: Pm-3m, No. 221
Energy relative to the elements in meV per atom: 730
Total magnetic moment in μB/f.u.: 0.00
Mass density in g cm⁻³: 14.7

Cell: 4.2205 4.2205 4.2205 Å, 90.00 90.00 90.00°
Closest atoms and distances in Å follow each position.
Atoms (fractional coordinates):
Cu1 0.0000 0.0000 0.0000  12 Au 2.98
Au1 0.0000 0.5000 0.5000  2 C 2.11
Au2 0.5000 0.0000 0.5000  2 C 2.11
Au3 0.5000 0.5000 0.0000  2 C 2.11
C1 0.5000 0.5000 0.5000  6 Au 2.11



[6]
Density functional theory data (GGA-PBEsol) for LiHgPb2 after structural relaxation.

Results
Symmetry: P4/mmm, No. 123
Energy relative to the elements in meV per atom: -151
Total magnetic moment in μB/f.u.: 0.00
Mass density in g cm⁻³: 10.5

Cell: 4.7333 4.7333 4.3737 Å, 90.00 90.00 90.00°
Closest atoms and distances in Å follow each position.
Atoms (fractional coordinates):
Li1 0.0000 0.0000 0.0000  8 Pb 3.22, 4 Hg 3.35
Hg1 0.5000 0.5000 0.0000  8 Pb 3.22, 4 Li 3.35
Pb1 0.0000 0.5000 0.5000  4 Hg 3.22, 4 Li 3.22, 4 Pb 3.35
Pb2 0.5000 0.0000 0.5000  4 Hg 3.22, 4 Li 3.22, 4 Pb 3.35



[7]
Density functional theory data (GGA-PBEsol) for ZnAs2Pb after structural relaxation.

Results
Symmetry: R-3m, No. 166
Energy relative to the elements in meV per atom: 75
Total magnetic moment in μB/f.u.: 0.00
Mass density in g cm⁻³: 8.2

Cell: 6.7987 6.7987 6.7987 Å, 33.54 33.54 33.54°
Closest atoms and distances in Å follow each position.
Atoms (fractional coordinates):
Zn1 0.0000 0.0000 0.0000  6 As 2.60
As1 0.2665 0.2665 0.2665  3 Zn 2.60
As2 0.7335 0.7335 0.7335  3 Zn 2.60
Pb1 0.5000 0.5000 0.5000  6 As 2.97



[8]
Density functional theory data (GGA-PBEsol) for CsHfRu3 after structural relaxation.

Results
Symmetry: Pm-3m, No. 221
Energy relative to the elements in meV per atom: 2577
Total magnetic moment in μB/f.u.: 0.00
Mass density in g cm⁻³: 9.6

Cell: 4.7446 4.7446 4.7446 Å, 90.00 90.00 90.00°
Closest atoms and distances in Å follow each position.
Atoms (fractional coordinates):
Cs1 0.0000 0.0000 0.0000  6 Ru 2.37
Hf1 0.5000 0.5000 0.5000  12 Ru 3.35
Ru1 0.0000 0.0000 0.5000  2 Cs 2.37
Ru2 0.0000 0.5000 0.0000  2 Cs 2.37
Ru3 0.5000 0.0000 0.0000  2 Cs 2.37



[9]
Density functional theory data (GGA-PBEsol) for Ta3CdAg after structural relaxation.

Results
Symmetry: Pm-3m, No. 221
Energy relative to the elements in meV per atom: 2349
Total magnetic moment in μB/f.u.: 1.42
Mass density in g cm⁻³: 10.8

Cell: 4.8975 4.8975 4.8975 Å, 90.00 90.00 90.00°
Closest atoms and distances in Å follow each position.
Atoms (fractional coordinates):
Ta1 0.0000 0.0000 0.5000  2 Cd 2.45
Ta2 0.0000 0.5000 0.0000  2 Cd 2.45
Ta3 0.5000 0.0000 0.0000  2 Cd 2.45
Cd1 0.0000 0.0000 0.0000  6 Ta 2.45
Ag1 0.5000 0.5000 0.5000  12 Ta 3.46



[10]
Density functional theory data (GGA-PBEsol) for Na3CeF7 after structural relaxation.

Results
DFT total energy in eV/atom: -5.428
Symmetry: Cm, No. 8
Total magnetic moment in μB/f.u.: 0.00
Mass density in g cm⁻³: 3.5

Cell: 5.5251 5.5251 6.5993 Å, 114.84 114.84 88.73°
Closest atoms and distances in Å follow each position.
Atoms (fractional coordinates):
Na1 0.0000 0.0000 0.0000  5 F 2.29-2.33
Na2 0.2799 0.7366 0.5549  6 F 2.33-2.49
Na3 0.7366 0.2799 0.5549  6 F 2.33-2.49
Ce1 0.4626 0.4626 0.0152  7 F 2.18-2.24
F1 0.1127 0.1127 0.7472  1 Ce 2.24, 3 Na 2.31-2.34
F2 0.1314 0.6079 0.7876  1 Ce 2.21, 3 Na 2.33-2.35
F3 0.3608 0.3608 0.2679  1 Ce 2.24, 3 Na 2.31-2.34
F4 0.4463 0.8557 0.2833  1 Ce 2.18, 1 Na 2.35
F5 0.6079 0.1314 0.7876  1 Ce 2.21, 3 Na 2.33-2.35
F6 0.6631 0.6631 0.8830  1 Ce 2.21, 1 Na 2.29
F7 0.8557 0.4463 0.2833  1 Ce 2.18, 1 Na 2.35



[11]
Density functional theory data (GGA-PBEsol) for CoTePI2 after structural relaxation.

Results
DFT total energy in eV/atom: -3.422
Symmetry: P4/mmm, No. 123
Total magnetic moment in μB/f.u.: 0.00
Mass density in g cm⁻³: 6.4

Cell: 5.0403 5.0403 4.8454 Å, 90.00 90.00 90.00°
Closest atoms and distances in Å follow each position.
Atoms (fractional coordinates):
Co1 0.0000 0.0000 0.0000  2 Te 2.42, 4 I 2.52
Te1 0.0000 0.0000 0.5000  2 Co 2.42
P1 0.5000 0.5000 0.5000  8 I 3.50, 4 Te 3.56
I1 0.0000 0.5000 0.0000  2 Co 2.52
I2 0.5000 0.0000 0.0000  2 Co 2.52



[12]
Density functional theory data (GGA-PBEsol) for TlPd5Se after structural relaxation.

Results
DFT total energy in eV/atom: -5.430
Symmetry: P4/mmm, No. 123
Total magnetic moment in μB/f.u.: 0.00
Mass density in g cm⁻³: 11.8

Cell: 4.0221 4.0221 7.0731 Å, 90.00 90.00 90.00°
Closest atoms and distances in Å follow each position.
Atoms (fractional coordinates):
Tl1 0.0000 0.0000 0.0000  12 Pd 2.84-2.85
Pd1 0.0000 0.5000 0.2864  2 Se 2.52
Pd2 0.0000 0.5000 0.7136  2 Se 2.52
Pd3 0.5000 0.0000 0.2864  2 Se 2.52
Pd4 0.5000 0.0000 0.7136  2 Se 2.52
Pd5 0.5000 0.5000 0.0000  4 Tl 2.84, 8 Pd 2.85
Se1 0.5000 0.5000 0.5000  8 Pd 2.52